(1)
# PPtBr2 | Alexandria | PBE | relaxed
data_PPtBr2
_symmetry_space_group_name_H-M 'C m m m'
_symmetry_Int_Tables_number 65
_symmetry_space_group_name_Hall '-C 2 2'
_cell_length_a 6.2525
_cell_length_b 7.2298
_cell_length_c 3.8686
_cell_angle_alpha 90.00
_cell_angle_beta 90.00
_cell_angle_gamma 90.00
loop_
_atom_site_label
_atom_site_type_symbol
_atom_site_fract_x
_atom_site_fract_y
_atom_site_fract_z
P1 P 0.0000 0.0000 0.0000
Pt1 Pt 0.0000 0.5000 0.0000
Br1 Br 0.0000 0.2613 0.5000
# Electronic total energy   -3.116 eV/atom
# Volume   175 Å³ per cell
# Total magnetic moment   0.0 μB per cell
# Formation energy without anion corrections   0.583 eV per atom

***

(2)
# LiPtCl | Alexandria | PBE | relaxed
data_LiPtCl
_symmetry_space_group_name_H-M 'F -4 3 m'
_symmetry_Int_Tables_number 216
_symmetry_space_group_name_Hall 'F -4 2 3'
_cell_length_a 5.8979
_cell_length_b 5.8979
_cell_length_c 5.8979
_cell_angle_alpha 90.00
_cell_angle_beta 90.00
_cell_angle_gamma 90.00
loop_
_atom_site_label
_atom_site_type_symbol
_atom_site_fract_x
_atom_site_fract_y
_atom_site_fract_z
Li1 Li 0.0000 0.0000 0.0000
Pt1 Pt 0.2500 0.2500 0.2500
Cl1 Cl 0.2500 0.2500 0.7500
# Electronic total energy   -3.185 eV/atom
# Volume   205 Å³ per cell
# Total magnetic moment   0.0 μB per cell
# Formation energy without anion corrections   0.083 eV per atom

***

(3)
# LiTb2Ga3 | Alexandria | PBE | relaxed
data_LiTb2Ga3
_symmetry_space_group_name_H-M 'F m m m'
_symmetry_Int_Tables_number 69
_symmetry_space_group_name_Hall '-F 2 2'
_cell_length_a 7.1926
_cell_length_b 8.9504
_cell_length_c 15.5192
_cell_angle_alpha 90.00
_cell_angle_beta 90.00
_cell_angle_gamma 90.00
loop_
_atom_site_label
_atom_site_type_symbol
_atom_site_fract_x
_atom_site_fract_y
_atom_site_fract_z
Li1 Li 0.0000 0.0000 0.1683
Tb1 Tb 0.2466 0.0000 0.0000
Tb2 Tb 0.2500 0.2500 0.2500
Ga1 Ga 0.0000 0.0000 0.3328
Ga2 Ga 0.0000 0.2501 0.0843
# Electronic total energy   -3.928 eV/atom
# Volume   999 Å³ per cell
# Energy of formation   -552 meV/atom
# Total magnetic moment   0.0 μB per cell

***

(4)
# KZn2Rh | Alexandria | PBE | relaxed
data_KZn2Rh
_symmetry_space_group_name_H-M 'I m m m'
_symmetry_Int_Tables_number 71
_symmetry_space_group_name_Hall '-I 2 2'
_cell_length_a 3.1120
_cell_length_b 5.6167
_cell_length_c 10.2867
_cell_angle_alpha 90.00
_cell_angle_beta 90.00
_cell_angle_gamma 90.00
loop_
_atom_site_label
_atom_site_type_symbol
_atom_site_fract_x
_atom_site_fract_y
_atom_site_fract_z
K1 K 0.0000 0.0000 0.0000
Zn1 Zn 0.0000 0.5000 0.1895
Rh1 Rh 0.0000 0.0000 0.5000
# Electronic total energy   -2.561 eV/atom
# Volume   180 Å³ per cell
# Energy of formation   188 meV/atom
# Total magnetic moment   0.0 μB per cell

***

(5)
# Zr3SbRu | Alexandria | PBE | relaxed
data_Zr3SbRu
_symmetry_space_group_name_H-M 'P m -3 m'
_symmetry_Int_Tables_number 221
_symmetry_space_group_name_Hall '-P 4 2 3'
_cell_length_a 5.2016
_cell_length_b 5.2016
_cell_length_c 5.2016
_cell_angle_alpha 90.00
_cell_angle_beta 90.00
_cell_angle_gamma 90.00
loop_
_atom_site_label
_atom_site_type_symbol
_atom_site_fract_x
_atom_site_fract_y
_atom_site_fract_z
Zr1 Zr 0.0000 0.0000 0.5000
Sb1 Sb 0.0000 0.0000 0.0000
Ru1 Ru 0.5000 0.5000 0.5000
# Electronic total energy   -6.623 eV/atom
# Volume   141 Å³ per cell
# Total magnetic moment   1.5 μB per cell
# Formation energy without anion corrections   1.186 eV per atom

***

(6)
# TbTm2Pu3Se6 | Alexandria | PBE | relaxed
data_TbTm2Pu3Se6
_symmetry_space_group_name_H-M 'C 1 2/m 1'
_symmetry_Int_Tables_number 12
_symmetry_space_group_name_Hall '-C 2y'
_cell_length_a 17.8513
_cell_length_b 4.0801
_cell_length_c 8.1956
_cell_angle_alpha 90.00
_cell_angle_beta 103.12
_cell_angle_gamma 90.00
loop_
_atom_site_label
_atom_site_type_symbol
_atom_site_fract_x
_atom_site_fract_y
_atom_site_fract_z
Tb1 Tb 0.0000 0.0000 0.0000
Tm1 Tm 0.1663 0.5000 0.3357
Pu1 Pu 0.0000 0.0000 0.5000
Pu2 Pu 0.1655 0.5000 0.8350
Se1 Se 0.0031 0.5000 0.2497
Se2 Se 0.1668 0.0000 0.0914
Se3 Se 0.1695 0.0000 0.5792
# Electronic total energy   -8.100 eV/atom
# Volume   581 Å³ per cell
# Total magnetic moment   11.6 μB per cell
# Formation energy without anion corrections   -1.644 eV per atom